Entry 1:
DFT (PBE-GGA) results for crystalline CeUSe2 at its relaxed geometry.

Symmetry   Fm-3m (225)
Polymorph energy (0 for the lowest one)   262.2 meV/atom

Cell: 7.194 7.194 7.194 Å, 90.00 90.00 90.00°
Fractional positions:
1 Ce 0.000 0.000 0.000
2 Ce 0.000 0.500 0.500
3 Ce 0.500 0.000 0.500
4 Ce 0.500 0.500 0.000
5 U 0.000 0.000 0.500
6 U 0.000 0.500 0.000
7 U 0.500 0.000 0.000
8 U 0.500 0.500 0.500
9 Se 0.250 0.250 0.250
10 Se 0.250 0.250 0.750
11 Se 0.250 0.750 0.250
12 Se 0.250 0.750 0.750
13 Se 0.750 0.250 0.250
14 Se 0.750 0.250 0.750
15 Se 0.750 0.750 0.250
16 Se 0.750 0.750 0.750

=====

Entry 2:
DFT (PBE-GGA) results for crystalline CeU2Se5 at its relaxed geometry.

Symmetry   Pnma (62)
Polymorph energy (0 for the lowest one)   0.0 meV/atom

Cell: 12.421 8.256 7.789 Å, 90.00 90.00 90.00°
Fractional positions:
1 Ce 0.008 0.250 0.085
2 Ce 0.492 0.750 0.585
3 Ce 0.508 0.250 0.415
4 Ce 0.992 0.750 0.915
5 U 0.181 0.000 0.511
6 U 0.181 0.500 0.511
7 U 0.319 0.000 0.011
8 U 0.319 0.500 0.011
9 U 0.681 0.000 0.989
10 U 0.681 0.500 0.989
11 U 0.819 0.000 0.489
12 U 0.819 0.500 0.489
13 Se 0.001 0.250 0.470
14 Se 0.105 0.549 0.162
15 Se 0.105 0.951 0.162
16 Se 0.184 0.250 0.822
17 Se 0.219 0.750 0.790
18 Se 0.281 0.250 0.290
19 Se 0.316 0.750 0.322
20 Se 0.395 0.049 0.662
21 Se 0.395 0.451 0.662
22 Se 0.499 0.750 0.970
23 Se 0.501 0.250 0.030
24 Se 0.605 0.549 0.338
25 Se 0.605 0.951 0.338
26 Se 0.684 0.250 0.678
27 Se 0.719 0.750 0.710
28 Se 0.781 0.250 0.210
29 Se 0.816 0.750 0.178
30 Se 0.895 0.049 0.838
31 Se 0.895 0.451 0.838
32 Se 0.999 0.750 0.530

=====

Entry 3:
DFT (PBE-GGA) results for crystalline CeU2Se3 at its relaxed geometry.

Symmetry   P2_1/c (14)

Cell: 5.814 12.443 8.126 Å, 90.00 91.00 90.00°
Fractional positions:
1 Ce 0.250 0.081 0.127
2 Ce 0.250 0.419 0.627
3 Ce 0.750 0.581 0.373
4 Ce 0.750 0.919 0.873
5 U 0.248 0.084 0.624
6 U 0.248 0.416 0.124
7 U 0.252 0.747 0.625
8 U 0.252 0.753 0.125
9 U 0.748 0.247 0.875
10 U 0.748 0.253 0.375
11 U 0.752 0.584 0.876
12 U 0.752 0.916 0.376
13 Se 0.248 0.249 0.875
14 Se 0.248 0.251 0.375
15 Se 0.250 0.585 0.369
16 Se 0.250 0.915 0.869
17 Se 0.253 0.586 0.882
18 Se 0.253 0.914 0.382
19 Se 0.747 0.086 0.618
20 Se 0.747 0.414 0.118
21 Se 0.750 0.085 0.131
22 Se 0.750 0.415 0.631
23 Se 0.752 0.749 0.625
24 Se 0.752 0.751 0.125

=====

Entry 4:
DFT (PBE-GGA) results for crystalline CeUSe2 at its relaxed geometry.

Symmetry   R3m (160)
Polymorph energy (0 for the lowest one)   101.8 meV/atom

Cell: 3.949 3.949 22.542 Å, 90.00 90.00 120.00°
Fractional positions:
1 Ce 0.000 0.000 0.000
2 Ce 0.333 0.667 0.667
3 Ce 0.667 0.333 0.333
4 U 0.000 0.000 0.173
5 U 0.333 0.667 0.840
6 U 0.667 0.333 0.507
7 Se 0.000 0.000 0.421
8 Se 0.000 0.000 0.586
9 Se 0.333 0.667 0.088
10 Se 0.333 0.667 0.252
11 Se 0.667 0.333 0.755
12 Se 0.667 0.333 0.919

=====

no.,formation energy from raw total energies (kcal/mol of atoms)
1,-26.24
2,-30.83
3,-28.81
4,-29.94